# AgRuRh | Alexandria via LeMat-Bulk | GGA-PBE | relaxed
# Energy above the most stable polymorph in this dataset in meV/atom: 573
data_AgRuRh
_space_group_name_H-M_alt 'F -4 3 m'
_space_group_IT_number 216
_space_group_name_Hall 'F -4 2 3'
_cell_length_a 5.987
_cell_length_b 5.987
_cell_length_c 5.987
_cell_angle_alpha 90.00
_cell_angle_beta 90.00
_cell_angle_gamma 90.00
loop_
_atom_site_label
_atom_site_type_symbol
_atom_site_fract_x
_atom_site_fract_y
_atom_site_fract_z
Ag1 Ag 0.000 0.000 0.000
Ru1 Ru 0.000 0.000 0.500
Rh1 Rh 0.250 0.250 0.250

---

# AgRu2Rh | Alexandria via LeMat-Bulk | GGA-PBE | relaxed
# Energy above the most stable polymorph in this dataset in meV/atom: 263
data_AgRu2Rh
_space_group_name_H-M_alt 'C m m m'
_space_group_IT_number 65
_space_group_name_Hall '-C 2 2'
_cell_length_a 2.735
_cell_length_b 4.637
_cell_length_c 9.571
_cell_angle_alpha 90.00
_cell_angle_beta 90.00
_cell_angle_gamma 90.00
loop_
_atom_site_label
_atom_site_type_symbol
_atom_site_fract_x
_atom_site_fract_y
_atom_site_fract_z
Ag1 Ag 0.000 0.000 0.000
Ru1 Ru 0.000 0.500 0.262
Rh1 Rh 0.000 0.000 0.500

---

# AgRu2Rh | Alexandria via LeMat-Bulk | GGA-PBE | relaxed
# Energy above the most stable polymorph in this dataset in meV/atom: 251
data_AgRu2Rh
_space_group_name_H-M_alt 'I m m m'
_space_group_IT_number 71
_space_group_name_Hall '-I 2 2'
_cell_length_a 2.752
_cell_length_b 4.569
_cell_length_c 9.791
_cell_angle_alpha 90.00
_cell_angle_beta 90.00
_cell_angle_gamma 90.00
loop_
_atom_site_label
_atom_site_type_symbol
_atom_site_fract_x
_atom_site_fract_y
_atom_site_fract_z
Ag1 Ag 0.000 0.000 0.000
Ru1 Ru 0.000 0.500 0.224
Rh1 Rh 0.000 0.000 0.500